1.
VASP calculation (GGA-PBE) on a geometry-optimized Sm8SiS6 structure.

a = 10.2947 Å, b = 10.2947 Å, c = 4.0554 Å
α = 90.00°, β = 90.00°, γ = 120.00°
Last column: nearest neighbours and their distance in Å.
Space group P-3 (No. 147)
Inequivalent atoms, fractional coordinates:
Sm: 0.0323 0.3247 0.2551 x6  4 S 2.73-2.98
Sm: 0.3333 0.6667 0.7485 x2  6 S 2.83-2.84
Si: 0.0000 0.0000 0.5000 x1  6 Sm 3.34
S: 0.1337 0.6516 0.2490 x6  6 Sm 2.73-2.98

Summary:
ΔE_f (raw): -1491 meV/atom

2.
VASP calculation (GGA-PBE) on a geometry-optimized Ce5Al3 structure.

a = 5.9363 Å, b = 17.3519 Å, c = 14.5513 Å
α = 90.00°, β = 90.00°, γ = 90.00°
Last column: nearest neighbours and their distance in Å.
Space group Fdd2 (No. 43)
Inequivalent atoms, fractional coordinates:
Ce: 0.0000 0.0000 0.0000 x8  4 Ce 2.97-3.11, 4 Al 3.20-3.28
Ce: 0.0517 0.0895 0.8275 x16  3 Ce 2.75-2.97, 1 Al 3.02
Ce: 0.1111 0.3131 0.8849 x16  3 Ce 2.74-2.89
Al: 0.0000 0.0000 0.4175 x8  2 Al 2.89, 2 Ce 3.20
Al: 0.0931 0.0690 0.2409 x16  2 Al 2.64-2.89

Summary:
Formation enthalpy at 0 K: -0.11 eV/atom